Below is VTcRuRh2 after structural relaxation, with properties calculated at the GGA-PBE level.

```
5
Lattice="-0.858 4.074 -2.165 -0.571 -2.279 -4.062 -4.282 -0.448 0.853" Properties=species:S:1:pos:R:3 pbc="T T T"
Ru 0.000 0.000 0.000
V -2.141 -0.224 0.427
Tc -2.855 0.674 -2.687
Rh -0.429 2.037 -1.082
Rh -0.286 -1.139 -2.031
```

Summary:
calculated volume: 19.33 A^3/atom
energy relative to the elements: 1.48 eV per atom
distance to the lowest polymorph of the same formula: 0.000 eV/atom
theoretical density: 7831 kg/m³

=====

Below is Rb2MgTlI6 after structural relaxation, with properties calculated at the GGA-PBE level.

```
20
Lattice="8.341 0.000 -0.028 0.000 8.719 0.000 0.044 0.000 12.029" Properties=species:S:1:pos:R:3 pbc="T T T"
I 5.740 2.515 11.471
Rb 0.237 8.007 3.040
Rb 8.148 0.712 8.962
Rb 3.956 3.647 2.961
I 4.938 0.054 2.827
I 6.838 6.875 6.531
Tl 4.192 0.000 6.001
Tl 0.000 4.359 0.000
I 1.744 1.585 0.505
I 2.448 5.944 5.496
I 3.446 8.665 9.174
I 1.547 1.844 5.470
Mg 0.022 4.359 6.015
Mg 4.170 0.000 -0.014
I 0.790 4.305 8.857
I 6.640 7.134 11.497
Rb 4.429 5.071 9.041
I 7.595 4.413 3.145
I 2.645 6.203 0.530
I 5.937 2.775 6.505
```

Summary:
calculated volume: 43.74 A^3/atom
distance to the lowest polymorph of the same formula: 0.000 eV/atom
theoretical density: 4408 kg/m³
formation energy from raw total energies: -95 kJ per mole of atoms

=====

Below is Sc2TiAs after structural relaxation, with properties calculated at the GGA-PBE level.

```
4
Lattice="2.003 0.000 8.961 -1.001 1.735 8.961 -1.001 -1.735 8.961" Properties=species:S:1:pos:R:3 pbc="T T T"
Ti 0.000 0.000 0.000
Sc 0.000 0.000 2.796
As 0.000 0.000 13.441
Sc 0.000 0.000 24.086
```

Summary:
calculated volume: 23.35 A^3/atom
energy relative to the elements: -0.09 eV per atom
theoretical density: 3782 kg/m³

=====

Below is Rb3LiW after structural relaxation, with properties calculated at the GGA-PBE level.

```
5
Lattice="7.132 0.000 0.000 0.000 7.132 0.000 0.000 0.000 7.132" Properties=species:S:1:pos:R:3 pbc="T T T"
W 0.000 0.000 0.000
Rb 0.000 3.566 0.000
Li 3.566 3.566 3.566
Rb 0.000 0.000 3.566
Rb 3.566 0.000 0.000
```

Summary:
calculated volume: 72.56 A^3/atom
energy relative to the elements: 1.41 eV per atom
distance to the lowest polymorph of the same formula: 0.000 eV/atom
theoretical density: 2047 kg/m³